Entry 1:
Entry from Alexandria via LeMat-Bulk: an optimized crystal structure of Ti3Mn5O16 (PBE with a Hubbard U).

Results
Final energy   -185.8 eV for the cell shown

Cell and atoms, written as CIF:
```
data_Ti3Mn5O16
_cell_length_a 5.8673
_cell_length_b 5.8673
_cell_length_c 8.9221
_cell_angle_alpha 90.70
_cell_angle_beta 90.70
_cell_angle_gamma 60.11
_symmetry_space_group_name_H-M 'P 1'
_symmetry_Int_Tables_number 1
loop_
_symmetry_equiv_pos_as_xyz
'x,y,z'
loop_
_atom_site_label
_atom_site_type_symbol
_atom_site_fract_x
_atom_site_fract_y
_atom_site_fract_z
Ti1 Ti 0.0000 0.0000 0.0000
Ti2 Ti 0.3307 0.8318 0.5018
Ti3 Ti 0.8318 0.3307 0.5018
Mn1 Mn 0.3308 0.3308 0.5068
Mn2 Mn 0.4917 0.4917 0.7799
Mn3 Mn 0.4989 0.9946 0.0056
Mn4 Mn 0.8273 0.8273 0.2774
Mn5 Mn 0.9946 0.4989 0.0056
O1 O 0.1128 0.6804 0.1381
O2 O 0.1637 0.1637 0.6104
O3 O 0.1655 0.1655 0.1110
O4 O 0.2064 0.6302 0.6377
O5 O 0.3249 0.3249 0.8972
O6 O 0.3278 0.8180 0.8993
O7 O 0.4897 0.4897 0.3943
O8 O 0.5013 0.9860 0.3984
O9 O 0.6302 0.2064 0.6377
O10 O 0.6338 0.6338 0.6413
O11 O 0.6804 0.1128 0.1381
O12 O 0.6831 0.6831 0.1331
O13 O 0.8180 0.3278 0.8993
O14 O 0.8231 0.8231 0.8966
O15 O 0.9860 0.5013 0.3984
O16 O 0.9865 0.9865 0.4010
```

Entry 2:
Entry from Alexandria via LeMat-Bulk: an optimized crystal structure of TiMnO3 (PBE with a Hubbard U).

Results
Final energy   -85.8 eV for the cell shown

Cell and atoms, written as CIF:
```
data_TiMnO3
_cell_length_a 5.6717
_cell_length_b 5.6717
_cell_length_c 5.6717
_cell_angle_alpha 54.52
_cell_angle_beta 54.52
_cell_angle_gamma 54.52
_symmetry_space_group_name_H-M 'P 1'
_symmetry_Int_Tables_number 1
loop_
_symmetry_equiv_pos_as_xyz
'x,y,z'
loop_
_atom_site_label
_atom_site_type_symbol
_atom_site_fract_x
_atom_site_fract_y
_atom_site_fract_z
Ti1 Ti 0.1463 0.1463 0.1463
Ti2 Ti 0.8537 0.8537 0.8537
Mn1 Mn 0.3591 0.3591 0.3591
Mn2 Mn 0.6409 0.6409 0.6409
O1 O 0.0443 0.4366 0.7868
O2 O 0.2132 0.9557 0.5634
O3 O 0.4366 0.7868 0.0443
O4 O 0.5634 0.2132 0.9557
O5 O 0.7868 0.0443 0.4366
O6 O 0.9557 0.5634 0.2132
```

Entry 3:
Entry from Alexandria via LeMat-Bulk: an optimized crystal structure of Ti4MnO8 (PBE with a Hubbard U).

Results
Final energy   -113.6 eV for the cell shown

Cell and atoms, written as CIF:
```
data_Ti4MnO8
_cell_length_a 6.2272
_cell_length_b 6.2272
_cell_length_c 6.2272
_cell_angle_alpha 57.24
_cell_angle_beta 57.24
_cell_angle_gamma 57.24
_symmetry_space_group_name_H-M 'P 1'
_symmetry_Int_Tables_number 1
loop_
_symmetry_equiv_pos_as_xyz
'x,y,z'
loop_
_atom_site_label
_atom_site_type_symbol
_atom_site_fract_x
_atom_site_fract_y
_atom_site_fract_z
Ti1 Ti 0.0000 0.0000 0.0000
Ti2 Ti 0.0000 0.5000 0.5000
Ti3 Ti 0.5000 0.0000 0.5000
Ti4 Ti 0.5000 0.5000 0.0000
Mn1 Mn 0.5000 0.5000 0.5000
O1 O 0.2402 0.2402 0.7281
O2 O 0.2402 0.7281 0.2402
O3 O 0.2705 0.2705 0.2705
O4 O 0.2719 0.7598 0.7598
O5 O 0.7281 0.2402 0.2402
O6 O 0.7295 0.7295 0.7295
O7 O 0.7598 0.2719 0.7598
O8 O 0.7598 0.7598 0.2719
```

Entry 4:
Entry from Alexandria via LeMat-Bulk: an optimized crystal structure of TiMnO4 (PBE with a Hubbard U).

Results
Final energy   -96.1 eV for the cell shown

Cell and atoms, written as CIF:
```
data_TiMnO4
_cell_length_a 5.4453
_cell_length_b 4.5678
_cell_length_c 5.4314
_cell_angle_alpha 90.00
_cell_angle_beta 114.09
_cell_angle_gamma 90.00
_symmetry_space_group_name_H-M 'P 1'
_symmetry_Int_Tables_number 1
loop_
_symmetry_equiv_pos_as_xyz
'x,y,z'
loop_
_atom_site_label
_atom_site_type_symbol
_atom_site_fract_x
_atom_site_fract_y
_atom_site_fract_z
Ti1 Ti 0.0000 0.0000 0.0000
Ti2 Ti 0.0000 0.5000 0.5000
Mn1 Mn 0.5000 0.0000 0.5000
Mn2 Mn 0.5000 0.5000 0.0000
O1 O 0.1555 0.1872 0.3510
O2 O 0.1555 0.3128 0.8510
O3 O 0.3499 0.6999 0.6539
O4 O 0.3499 0.8001 0.1539
O5 O 0.6501 0.1999 0.8461
O6 O 0.6501 0.3001 0.3461
O7 O 0.8445 0.6872 0.1490
O8 O 0.8445 0.8128 0.6490
```

Entry 5:
Entry from Alexandria via LeMat-Bulk: an optimized crystal structure of Ti3MnO (PBE with a Hubbard U).

Results
Final energy   -40.8 eV for the cell shown

Cell and atoms, written as CIF:
```
data_Ti3MnO
_cell_length_a 4.1602
_cell_length_b 4.1602
_cell_length_c 4.1602
_cell_angle_alpha 90.00
_cell_angle_beta 90.00
_cell_angle_gamma 90.00
_symmetry_space_group_name_H-M 'P 1'
_symmetry_Int_Tables_number 1
loop_
_symmetry_equiv_pos_as_xyz
'x,y,z'
loop_
_atom_site_label
_atom_site_type_symbol
_atom_site_fract_x
_atom_site_fract_y
_atom_site_fract_z
Ti1 Ti 0.0000 0.0000 0.5000
Ti2 Ti 0.0000 0.5000 0.0000
Ti3 Ti 0.5000 0.0000 0.0000
Mn1 Mn 0.5000 0.5000 0.5000
O1 O 0.0000 0.0000 0.0000
```

Entry 6:
Entry from Alexandria via LeMat-Bulk: an optimized crystal structure of TiMn3O (PBE with a Hubbard U).

Results
Energy above the most stable polymorph in this dataset   1703.5 meV per atom

Cell and atoms, written as CIF:
```
data_TiMn3O
_cell_length_a 4.8335
_cell_length_b 4.8335
_cell_length_c 4.8335
_cell_angle_alpha 90.00
_cell_angle_beta 90.00
_cell_angle_gamma 90.00
_symmetry_space_group_name_H-M 'P 1'
_symmetry_Int_Tables_number 1
loop_
_symmetry_equiv_pos_as_xyz
'x,y,z'
loop_
_atom_site_label
_atom_site_type_symbol
_atom_site_fract_x
_atom_site_fract_y
_atom_site_fract_z
Ti1 Ti 0.0000 0.0000 0.0000
Mn1 Mn 0.0000 0.0000 0.5000
Mn2 Mn 0.0000 0.5000 0.0000
Mn3 Mn 0.5000 0.0000 0.0000
O1 O 0.5000 0.5000 0.5000
```

Entry 7:
Entry from Alexandria via LeMat-Bulk: an optimized crystal structure of TiMn3O8 (PBE with a Hubbard U).

Results
Energy above the most stable polymorph in this dataset   48.2 meV per atom

Cell and atoms, written as CIF:
```
data_TiMn3O8
_cell_length_a 8.2882
_cell_length_b 8.2882
_cell_length_c 8.2882
_cell_angle_alpha 90.00
_cell_angle_beta 90.00
_cell_angle_gamma 90.00
_symmetry_space_group_name_H-M 'P 1'
_symmetry_Int_Tables_number 1
loop_
_symmetry_equiv_pos_as_xyz
'x,y,z'
loop_
_atom_site_label
_atom_site_type_symbol
_atom_site_fract_x
_atom_site_fract_y
_atom_site_fract_z
Ti1 Ti 0.1250 0.1250 0.1250
Ti2 Ti 0.3750 0.8750 0.6250
Ti3 Ti 0.6250 0.3750 0.8750
Ti4 Ti 0.8750 0.6250 0.3750
Mn1 Mn 0.1225 0.8725 0.8750
Mn2 Mn 0.1250 0.6225 0.6275
Mn3 Mn 0.1275 0.3750 0.3775
Mn4 Mn 0.3725 0.6250 0.8775
Mn5 Mn 0.3750 0.3775 0.1275
Mn6 Mn 0.3775 0.1275 0.3750
Mn7 Mn 0.6225 0.6275 0.1250
Mn8 Mn 0.6250 0.8775 0.3725
Mn9 Mn 0.6275 0.1250 0.6225
Mn10 Mn 0.8725 0.8750 0.1225
Mn11 Mn 0.8750 0.1225 0.8725
Mn12 Mn 0.8775 0.3725 0.6250
O1 O 0.1062 0.8864 0.1091
O2 O 0.1091 0.1062 0.8864
O3 O 0.1113 0.3887 0.6113
O4 O 0.1136 0.6091 0.3938
O5 O 0.1364 0.8562 0.6409
O6 O 0.1387 0.6387 0.8613
O7 O 0.1409 0.3636 0.1438
O8 O 0.1438 0.1409 0.3636
O9 O 0.3562 0.8591 0.8636
O10 O 0.3591 0.6364 0.6438
O11 O 0.3613 0.3613 0.3613
O12 O 0.3636 0.1438 0.1409
O13 O 0.3864 0.3909 0.8938
O14 O 0.3887 0.6113 0.1113
O15 O 0.3909 0.8938 0.3864
O16 O 0.3938 0.1136 0.6091
O17 O 0.6062 0.6136 0.8909
O18 O 0.6091 0.3938 0.1136
O19 O 0.6113 0.1113 0.3887
O20 O 0.6136 0.8909 0.6062
O21 O 0.6364 0.6438 0.3591
O22 O 0.6387 0.8613 0.1387
O23 O 0.6409 0.1364 0.8562
O24 O 0.6438 0.3591 0.6364
O25 O 0.8562 0.6409 0.1364
O26 O 0.8591 0.8636 0.3562
O27 O 0.8613 0.1387 0.6387
O28 O 0.8636 0.3562 0.8591
O29 O 0.8864 0.1091 0.1062
O30 O 0.8887 0.8887 0.8887
O31 O 0.8909 0.6062 0.6136
O32 O 0.8938 0.3864 0.3909
```

Entry 8:
Entry from Alexandria via LeMat-Bulk: an optimized crystal structure of Ti4MnO (PBE with a Hubbard U).

Results
Final energy   -94.4 eV for the cell shown

Cell and atoms, written as CIF:
```
data_Ti4MnO
_cell_length_a 6.8277
_cell_length_b 5.3360
_cell_length_c 5.2499
_cell_angle_alpha 90.00
_cell_angle_beta 97.37
_cell_angle_gamma 90.00
_symmetry_space_group_name_H-M 'P 1'
_symmetry_Int_Tables_number 1
loop_
_symmetry_equiv_pos_as_xyz
'x,y,z'
loop_
_atom_site_label
_atom_site_type_symbol
_atom_site_fract_x
_atom_site_fract_y
_atom_site_fract_z
Ti1 Ti 0.0802 0.1518 0.3580
Ti2 Ti 0.0802 0.3482 0.8580
Ti3 Ti 0.2859 0.5875 0.4403
Ti4 Ti 0.2859 0.9125 0.9403
Ti5 Ti 0.7141 0.0875 0.0597
Ti6 Ti 0.7141 0.4125 0.5597
Ti7 Ti 0.9198 0.6518 0.1420
Ti8 Ti 0.9198 0.8482 0.6420
Mn1 Mn 0.5000 0.0000 0.5000
Mn2 Mn 0.5000 0.5000 0.0000
O1 O 0.0000 0.0000 0.0000
O2 O 0.0000 0.5000 0.5000
```